Compound: LaZnPb2
Source: Alexandria via LeMat-Bulk
Functional: meta-GGA SCAN
Structure: PBEsol geometry

abc: 3.861 3.861 7.138
angles: 90.00 90.00 91.13
Sites, in units of the cell vectors:
La 0.000 0.000 0.000
Zn 0.500 0.500 0.258
Pb 0.000 0.000 0.463
Pb 0.500 0.500 0.704

## Properties
The calculation puts the calculated formation energy at -0.256 eV/atom. The space-group type is Cmm2 (35). The density is 9.7 Mg/m³.



Compound: AgAu
Source: Alexandria via LeMat-Bulk
Functional: meta-GGA SCAN
Structure: PBEsol geometry

abc: 2.847 2.847 9.544
angles: 90.00 90.00 120.00
Sites, in units of the cell vectors:
Ag 0.333 0.667 0.378
Ag 0.667 0.333 0.622
Au 0.333 0.667 0.872
Au 0.667 0.333 0.128

## Properties
The calculation puts the calculated formation energy at -0.030 eV/atom. The space-group type is P-3m1 (164). The density is 15.1 Mg/m³.



Compound: InMo2Cl
Source: Alexandria via LeMat-Bulk
Functional: meta-GGA SCAN
Structure: PBEsol geometry

abc: 4.530 4.530 4.530
angles: 60.00 60.00 60.00
Sites, in units of the cell vectors:
In 0.000 0.000 0.000
Mo 0.250 0.250 0.250
Mo 0.750 0.750 0.750
Cl 0.500 0.500 0.500

## Properties
The formation energy from raw total energies is 0.995 eV per atom. The space-group type is Fm-3m (225). The density is 8.6 Mg/m³.



Compound: NiRh2
Source: Alexandria via LeMat-Bulk
Functional: meta-GGA SCAN
Structure: PBEsol geometry

abc: 5.228 3.696 7.808
angles: 90.00 90.00 90.00
Sites, in units of the cell vectors:
Ni 0.126 0.250 0.084
Ni 0.374 0.750 0.584
Ni 0.626 0.250 0.416
Ni 0.874 0.750 0.916
Rh 0.118 0.250 0.752
Rh 0.133 0.250 0.419
Rh 0.367 0.750 0.919
Rh 0.382 0.750 0.252
Rh 0.618 0.250 0.748
Rh 0.633 0.250 0.081
Rh 0.867 0.750 0.581
Rh 0.882 0.750 0.248

## Properties
The calculation puts the calculated formation energy at 0.045 eV/atom. The space-group type is Pnma (62). The density is 11.6 Mg/m³.